Below is a relaxed SrBAsC2 crystal, with properties calculated at the PBE level.

D(E_F): 2.4 states/eV per cell
E_form: 1930 meV per atom

Cell: 3.7941 5.1279 3.7941 Å, 90.00 90.00 90.00°
Element x y z (fractional)
C: 0.0000 0.0000 0.5000
Sr: 0.0000 0.5000 0.0000
C: 0.5000 0.0000 0.0000
As: 0.5000 0.5000 0.5000
B: 0.0000 0.0000 0.0000